SmTiNbIr2 after structural relaxation. Source: the Alexandria database, functional GGA-PBE.

Properties
- Energy relative to the elements: -0.69 eV/atom
- Total moment: 0.0 μB/cell

a b c (Å): 4.382 4.382 10.597
angles (deg): 90.00 90.00 90.00
Space group I-4m2 (No. 119)
Unique sites:
Sm  0.000  0.000  0.000
Ti  0.000  0.500  0.250
Nb  0.000  0.500  0.750
Ir  0.000  0.000  0.377

=====

TaTlFe3 after structural relaxation. Source: the Alexandria database, functional GGA-PBE.

Properties
- Energy relative to the elements: 1.98 eV/atom
- Total moment: 6.4 μB/cell
- E above lowest polymorph: 14.094 kcal/mol of atoms

a b c (Å): 4.717 4.717 4.717
angles (deg): 90.00 90.00 90.00
Space group Pm-3m (No. 221)
Unique sites:
Ta  0.000  0.000  0.000
Tl  0.500  0.500  0.500
Fe  0.000  0.500  0.500

=====

Er6Fe2Pb after structural relaxation. Source: the Alexandria database, functional GGA-PBE.

Properties
- Energy relative to the elements: -0.20 eV/atom
- Total moment: 5.4 μB/cell

a b c (Å): 9.468 9.608 9.938
angles (deg): 90.00 90.00 90.00
Space group Immm (No. 71)
Unique sites:
Er  0.000  0.220  0.230
Er  0.200  0.500  0.187
Er  0.211  0.312  0.500
Fe  0.000  0.387  0.000
Fe  0.000  0.500  0.391
Pb  0.000  0.000  0.000
Pb  0.000  0.000  0.500

=====

Ce2NdZn2Cu2 after structural relaxation. Source: the Alexandria database, functional GGA-PBE.

Properties
- Energy relative to the elements: -0.21 eV/atom
- Total moment: 0.0 μB/cell

a b c (Å): 4.3361 4.3361 26.9472
angles (deg): 90.00 90.00 120.00
Space group R-3m (No. 166, hexagonal axes)
Unique sites:
Ce  0.0000  0.0000  0.1396
Nd  0.0000  0.0000  0.0000
Zn  0.0000  0.0000  0.2598
Cu  0.0000  0.0000  0.4086

=====

FeCo2HPt after structural relaxation. Source: the Alexandria database, functional GGA-PBE.

Properties
- Total moment: 6.2 μB/cell
- E above lowest polymorph: 1.095 kcal/mol of atoms

a b c (Å): 3.718 3.718 3.793
angles (deg): 90.00 90.00 90.00
Space group P4/mmm (No. 123)
Unique sites:
Fe  0.000  0.000  0.000
Co  0.000  0.500  0.500
H  0.500  0.500  0.500
Pt  0.500  0.500  0.000

=====

ScTl2Cu after structural relaxation. Source: the Alexandria database, functional GGA-PBE.

Properties
- Energy relative to the elements: 0.09 eV/atom
- Total moment: 0.0 μB/cell
- E above lowest polymorph: 2.526 kcal/mol of atoms

a b c (Å): 3.451 5.538 9.396
angles (deg): 90.00 90.00 90.00
Space group Immm (No. 71)
Unique sites:
Sc  0.000  0.000  0.000
Tl  0.000  0.500  0.226
Cu  0.000  0.000  0.500

=====

Ba3VIn after structural relaxation. Source: the Alexandria database, functional GGA-PBE.

Properties
- Energy relative to the elements: 0.56 eV/atom
- Total moment: 3.2 μB/cell
- E above lowest polymorph: 0.000 kcal/mol of atoms

a b c (Å): 6.256 6.256 6.256
angles (deg): 90.00 90.00 90.00
Space group Pm-3m (No. 221)
Unique sites:
Ba  0.000  0.000  0.500
V  0.000  0.000  0.000
In  0.500  0.500  0.500

=====

K6HgAu after structural relaxation. Source: the Alexandria database, functional GGA-PBE.

Properties
- Energy relative to the elements: -0.13 eV/atom
- Total moment: 0.0 μB/cell
- E above lowest polymorph: 0.000 kcal/mol of atoms

a b c (Å): 4.612 12.994 14.501
angles (deg): 90.00 90.00 90.00
Space group Amm2 (No. 38)
Unique sites:
K  0.000  0.000  0.000
K  0.000  0.155  0.714
K  0.500  0.000  0.266
K  0.500  0.212  0.470
Hg  0.000  0.000  0.477
Au  0.500  0.000  0.605

=====

PrRe2H7 after structural relaxation. Source: the Alexandria database, functional GGA-PBE.

Properties
- Calculated total energy: -0.194 Ha/atom
- Total moment: 0.0 μB/cell

a b c (Å): 5.351 9.498 3.370
angles (deg): 90.00 90.00 90.00
Space group Cmmm (No. 65)
Unique sites:
Pr  0.000  0.000  0.000
Re  0.000  0.312  0.500
H  0.000  0.378  0.000
H  0.000  0.500  0.500
H  0.176  0.145  0.500

=====

NaLiZnF2 after structural relaxation. Source: the Alexandria database, functional GGA-PBE.

Properties
- E_form (uncorrected): -1.236 eV/atom
- Total moment: 0.0 μB/cell

a b c (Å): 4.250 4.250 4.833
angles (deg): 90.00 90.00 90.00
Space group P4/mmm (No. 123)
Unique sites:
Na  0.000  0.000  0.000
Li  0.000  0.000  0.500
Zn  0.500  0.500  0.500
F  0.000  0.500  0.000

=====

Mg2InAgAu4 after structural relaxation. Source: the Alexandria database, functional GGA-PBE.

Properties
- Energy relative to the elements: -0.37 eV/atom
- Total moment: 0.0 μB/cell

a b c (Å): 4.6957 4.6957 23.3419
angles (deg): 90.00 90.00 120.00
Space group R-3m (No. 166, hexagonal axes)
Unique sites:
Mg  0.0000  0.0000  0.2453
In  0.0000  0.0000  0.0000
Ag  0.0000  0.0000  0.5000
Au  0.0000  0.0000  0.1236
Au  0.0000  0.0000  0.3761

=====

La2NpF11 after structural relaxation. Source: the Alexandria database, functional GGA-PBE.

Properties
- E_form (uncorrected): -3.712 eV/atom
- Total moment: 8.0 μB/cell

a b c (Å): 8.590 10.789 11.312
angles (deg): 90.00 90.00 90.00
Space group Ibam (No. 72)
Unique sites:
La  0.139  0.183  0.000
Np  0.000  0.500  0.250
F  0.000  0.000  0.000
F  0.093  0.334  0.155
F  0.125  0.223  0.500
F  0.191  0.440  0.362

=====

LaThCSe after structural relaxation. Source: the Alexandria database, functional GGA-PBE.

Properties
- E_form (uncorrected): -1.040 eV/atom
- Total moment: 0.9 μB/cell

a b c (Å): 3.9223 3.9223 21.4507
angles (deg): 90.00 90.00 120.00
Space group R3m (No. 160, hexagonal axes)
Unique sites:
La  0.0000  0.0000  0.0000
Th  0.0000  0.0000  0.8008
C  0.0000  0.0000  0.4100
Se  0.0000  0.0000  0.2317